A geometry-optimized K3Ba2NpS6 structure. Source: the Alexandria database, functional PBE.

Summary:
Symmetry: No. 12
Calculated total energy in eV per atom: -5.281
Density in g cm⁻³: 3.7

Unit cell a=7.664 b=7.664 c=7.775 alpha=99.62 beta=99.62 gamma=120.00
Site moments in Bohr magnetons follow the coordinates.
Positions (direct):
K 0.500 0.500 0.500  0.00
K 0.835 0.165 0.500  0.00
S 0.356 0.070 0.211  -0.07
Ba 0.333 0.667 0.000  0.00
S 0.930 0.644 0.789  -0.07
S 0.070 0.356 0.211  -0.07
S 0.644 0.930 0.789  -0.07
S 0.215 0.215 0.795  -0.07
Ba 0.667 0.333 0.000  0.00
Np 0.000 0.000 0.000  2.62
K 0.165 0.835 0.500  0.00
S 0.785 0.785 0.205  -0.07